The following is a DFT calculation (SCAN) of InHgI2O at its PBEsol-relaxed geometry.

abc: 3.9250 5.9416 5.9416
angles: 90.00 90.00 90.00
Last column: nearest neighbours and their distance in Å.
Sites, in units of the cell vectors:
I  0.0000  0.0000  0.5000  2 In 2.97
I  0.0000  0.5000  0.0000  2 In 2.97
Hg  0.5000  0.5000  0.5000  8 I 3.56, 2 Hg 3.93
O  0.5000  0.0000  0.0000  2 In 1.96
In  0.0000  0.0000  0.0000  2 O 1.96

Output
SG = P4/mmm, No. 123
E_form (uncorrected) = -0.36 eV per atom